A relaxed TiCoO3 crystal. Source: the Alexandria database, functional GGA+U.

## Properties
- size of the total moment (Bohr magnetons per cell) = 18.05
- N(E_F) (states/eV/atom) = 0.000
- E_tot (eV/f.u.) = -39.13

a b c (Å): 5.1045 5.1045 14.0473
angles (deg): 90.00 90.00 120.00
Space group R-3 (No. 148, hexagonal axes)
One atom of each set of equivalent atoms:
Ti  0.0000  0.0000  0.1442
Co  0.0000  0.0000  0.3551
O  0.0175  0.6473  0.4205